No. 1
A plane-wave DFT calculation with PBE was carried out for a relaxed EuTmMgSn crystal.

Geometry as CIF:
```
data_EuTmMgSn
_cell_length_a 7.609
_cell_length_b 7.609
_cell_length_c 7.609
_cell_angle_alpha 90.00
_cell_angle_beta 90.00
_cell_angle_gamma 90.00
_space_group_name_H-M_alt 'F -4 3 m'
_space_group_IT_number 216
_space_group_name_Hall 'F -4 2 3'
loop_
_atom_site_label
_atom_site_type_symbol
_atom_site_fract_x
_atom_site_fract_y
_atom_site_fract_z
Eu1 Eu 0.000 0.000 0.000
Tm1 Tm 0.000 0.000 0.500
Mg1 Mg 0.250 0.250 0.750
Sn1 Sn 0.250 0.250 0.250
```

Properties
**DFT formation energy**: -0.372 eV per atom
**Fermi-level density of states**: 0.845 states/eV per atom


No. 2
A plane-wave DFT calculation with PBE was carried out for a relaxed EuYMgSn crystal.

Geometry as CIF:
```
data_EuYMgSn
_cell_length_a 7.658
_cell_length_b 7.658
_cell_length_c 7.658
_cell_angle_alpha 90.00
_cell_angle_beta 90.00
_cell_angle_gamma 90.00
_space_group_name_H-M_alt 'F -4 3 m'
_space_group_IT_number 216
_space_group_name_Hall 'F -4 2 3'
loop_
_atom_site_label
_atom_site_type_symbol
_atom_site_fract_x
_atom_site_fract_y
_atom_site_fract_z
Eu1 Eu 0.000 0.000 0.000
Y1 Y 0.000 0.000 0.500
Mg1 Mg 0.250 0.250 0.250
Sn1 Sn 0.250 0.250 0.750
```

Properties
**DFT formation energy**: -0.413 eV per atom
**Fermi-level density of states**: 0.820 states/eV per atom


No. 3
A plane-wave DFT calculation with PBE was carried out for a relaxed Sr2EuMg crystal.

Geometry as CIF:
```
data_Sr2EuMg
_cell_length_a 8.759
_cell_length_b 8.759
_cell_length_c 8.759
_cell_angle_alpha 90.00
_cell_angle_beta 90.00
_cell_angle_gamma 90.00
_space_group_name_H-M_alt 'F m -3 m'
_space_group_IT_number 225
_space_group_name_Hall '-F 4 2 3'
loop_
_atom_site_label
_atom_site_type_symbol
_atom_site_fract_x
_atom_site_fract_y
_atom_site_fract_z
Sr1 Sr 0.250 0.250 0.250
Eu1 Eu 0.000 0.000 0.000
Mg1 Mg 0.000 0.000 0.500
```

Properties
**DFT formation energy**: 0.053 eV per atom
**Excess energy over the best structure of this formula in the dataset**: 0.179 eV/f.u.
**Fermi-level density of states**: 3.356 states/eV per atom